VASP calculation (PBE) on a relaxed MnHI crystal.

Summary:
density of states at the Fermi level	2.79	states/eV/cell
total DFT energy (no corrections)	-53.1	eV/cell

Cell lengths 4.086, 7.386, 7.771 Å; angles 90.00, 104.52, 90.00 degrees
Space group P2_1/c (No. 14)
Asymmetric unit:
Mn (0.187, 0.046, 0.452)
H (0.443, 0.520, 0.133)
I (0.052, 0.700, 0.365)



VASP calculation (PBE) on a relaxed MnHI4 crystal.

Summary:
density of states at the Fermi level	9.55	states/eV/cell
total DFT energy (no corrections)	-79.3	eV/cell

Cell lengths 6.888, 19.915, 6.974 Å; angles 90.00, 96.53, 90.00 degrees
Space group C2/c (No. 15)
Asymmetric unit:
Mn (0.000, 0.055, 0.250)
H (0.000, 0.351, 0.750)
I (0.227, 0.049, 0.586)
I (0.239, 0.156, 0.121)



VASP calculation (PBE) on a relaxed Mn2H2I7 crystal.

Summary:
density of states at the Fermi level	2.21	states/eV/cell
total DFT energy (no corrections)	-38.3	eV/cell

Cell lengths 7.191, 7.337, 9.065 Å; angles 88.77, 82.10, 70.61 degrees
Space group P1 (No. 1)
Asymmetric unit:
Mn (0.000, 0.000, 0.000)
Mn (0.397, 0.257, 0.056)
H (0.209, 0.586, 0.394)
H (0.987, 0.658, 0.690)
I (0.093, 0.162, 0.237)
I (0.157, 0.613, 0.927)
I (0.299, 0.060, 0.820)
I (0.447, 0.490, 0.311)
I (0.690, 0.927, 0.159)
I (0.730, 0.293, 0.872)
I (0.881, 0.724, 0.537)



VASP calculation (PBE) on a relaxed MnHI2N crystal.

Summary:
density of states at the Fermi level	2.30	states/eV/cell
relative energy among the computed polymorphs	2.78	eV per formula unit

Cell lengths 6.357, 6.357, 2.875 Å; angles 90.00, 90.00, 90.00 degrees
Space group P4/mmm (No. 123)
Asymmetric unit:
Mn (0.000, 0.000, 0.000)
H (0.500, 0.500, 0.500)
I (0.000, 0.500, 0.500)
N (0.500, 0.500, 0.000)



VASP calculation (PBE) on a relaxed MnHIN2 crystal.

Summary:
density of states at the Fermi level	5.16	states/eV/cell
relative energy among the computed polymorphs	0.00	eV per formula unit

Cell lengths 3.544, 3.544, 5.664 Å; angles 90.00, 90.00, 90.00 degrees
Space group P4/mmm (No. 123)
Asymmetric unit:
Mn (0.000, 0.000, 0.000)
H (0.500, 0.500, 0.500)
I (0.000, 0.000, 0.500)
N (0.000, 0.500, 0.000)



VASP calculation (PBE) on a relaxed MnHI2N crystal.

Summary:
density of states at the Fermi level	0.95	states/eV/cell
relative energy among the computed polymorphs	0.00	eV per formula unit

Cell lengths 5.607, 5.607, 3.531 Å; angles 90.00, 90.00, 90.00 degrees
Space group P4/mmm (No. 123)
Asymmetric unit:
Mn (0.000, 0.000, 0.000)
H (0.500, 0.500, 0.500)
I (0.000, 0.500, 0.000)
N (0.000, 0.000, 0.500)



VASP calculation (PBE) on a relaxed MnHIN2 crystal.

Summary:
density of states at the Fermi level	7.17	states/eV/cell
relative energy among the computed polymorphs	7.50	eV per formula unit

Cell lengths 3.929, 3.929, 3.467 Å; angles 90.00, 90.00, 90.00 degrees
Space group P4/mmm (No. 123)
Asymmetric unit:
Mn (0.000, 0.000, 0.000)
H (0.500, 0.500, 0.500)
I (0.500, 0.500, 0.000)
N (0.000, 0.500, 0.500)



VASP calculation (PBE) on a relaxed Mn2HPtI crystal.

Summary:
density of states at the Fermi level	2.53	states/eV/cell
total DFT energy (no corrections)	-24.4	eV/cell

Cell lengths 5.026, 5.026, 5.415 Å; angles 90.00, 90.00, 90.00 degrees
Space group P4/mmm (No. 123)
Asymmetric unit:
Mn (0.000, 0.500, 0.000)
H (0.000, 0.000, 0.500)
Pt (0.500, 0.500, 0.000)
I (0.500, 0.500, 0.500)